Material: ZrCdSe2
Method: DFT, GGA-PBEsol
State: relaxed

As for the symmetry: P4mm, No. 99. The value obtained for the uncorrected formation energy is -0.702 eV/atom. For the final energy, the calculation gives -5.20 eV per atom. As for the density of states at the Fermi level: 0.536 states/eV/atom.

Unit cell a=3.8792 b=3.8792 c=5.6858 alpha=90.00 beta=90.00 gamma=90.00
With the nearest neighbours (Å) after each atom.
Atoms (fractional coordinates):
Zr  0.0000  0.0000  0.0000  6 Se 2.74-2.85
Cd  0.5000  0.5000  0.4977  6 Se 2.74-2.85
Se  0.0000  0.0000  0.5004  4 Cd 2.74, 2 Zr 2.84-2.85
Se  0.5000  0.5000  0.9987  4 Zr 2.74, 2 Cd 2.84-2.85